The following is a DFT calculation (PBE-GGA) of a geometry-optimized KNa2Cr structure.

Calculated values
formation enthalpy at 0 K: 0.5986 eV/atom
density of states at the Fermi level: 8.043 states/eV/cell
M_tot: 5.10 μB per formula unit

CIF file:
```
data_KNa2Cr
_symmetry_space_group_name_H-M 'F m -3 m'
_symmetry_Int_Tables_number 225
_symmetry_space_group_name_Hall '-F 4 2 3'
_cell_length_a 8.2638
_cell_length_b 8.2638
_cell_length_c 8.2638
_cell_angle_alpha 90.00
_cell_angle_beta 90.00
_cell_angle_gamma 90.00
loop_
_atom_site_label
_atom_site_type_symbol
_atom_site_fract_x
_atom_site_fract_y
_atom_site_fract_z
K1 K 0.0000 0.0000 0.0000
Na1 Na 0.2500 0.2500 0.2500
Cr1 Cr 0.0000 0.0000 0.5000
```